(1)
VASP calculation (PBE) on a relaxed structure of Lu2TcSn.

Structure (POSCAR):
```
Lu2TcSn
1.0
3.561 0.000 0.000
0.000 3.561 0.000
0.000 0.000 6.928
Lu Tc Sn
2 1 1
Direct
0.000 0.000 0.221
0.000 0.000 0.779
0.500 0.500 0.000
0.500 0.500 0.500
```

Computed properties:
Calculated formation energy = -8.98 kcal/mol of atoms
Space-group type = P4/mmm, No. 123
DFT total energy = -6.242 eV/atom

=====

(2)
VASP calculation (PBE) on a relaxed structure of LuTcSn2.

Structure (POSCAR):
```
LuTcSn2
1.0
6.893 0.000 0.000
0.000 6.893 0.000
0.000 0.000 6.893
Lu Tc Sn
4 4 8
Direct
0.000 0.000 0.000
0.000 0.500 0.500
0.500 0.000 0.500
0.500 0.500 0.000
0.000 0.000 0.500
0.000 0.500 0.000
0.500 0.000 0.000
0.500 0.500 0.500
0.250 0.250 0.250
0.250 0.250 0.750
0.250 0.750 0.250
0.250 0.750 0.750
0.750 0.250 0.250
0.750 0.250 0.750
0.750 0.750 0.250
0.750 0.750 0.750
```

Computed properties:
Calculated formation energy = -3.39 kcal/mol of atoms
Space-group type = Fm-3m, No. 225
DFT total energy = -5.870 eV/atom

=====

(3)
VASP calculation (PBE) on a relaxed structure of LuTcSn2.

Structure (POSCAR):
```
LuTcSn2
1.0
4.579 0.000 0.000
-2.290 3.966 0.000
0.000 0.000 14.194
Lu Tc Sn
3 3 6
Direct
0.000 0.000 0.000
0.333 0.667 0.667
0.667 0.333 0.333
0.000 0.000 0.500
0.333 0.667 0.167
0.667 0.333 0.833
0.000 0.000 0.231
0.000 0.000 0.769
0.333 0.667 0.435
0.333 0.667 0.898
0.667 0.333 0.102
0.667 0.333 0.565
```

Computed properties:
Calculated formation energy = -3.93 kcal/mol of atoms
Space-group type = R-3m, No. 166
DFT total energy = -5.893 eV/atom

=====

(4)
VASP calculation (PBE) on a relaxed structure of LuZrTcSn.

Structure (POSCAR):
```
LuZrTcSn
1.0
6.923 0.000 0.000
0.000 6.923 0.000
0.000 0.000 6.923
Lu Zr Tc Sn
4 4 4 4
Direct
0.000 0.000 0.000
0.000 0.500 0.500
0.500 0.000 0.500
0.500 0.500 0.000
0.000 0.000 0.500
0.000 0.500 0.000
0.500 0.000 0.000
0.500 0.500 0.500
0.250 0.250 0.250
0.250 0.750 0.750
0.750 0.250 0.750
0.750 0.750 0.250
0.250 0.250 0.750
0.250 0.750 0.250
0.750 0.250 0.250
0.750 0.750 0.750
```

Computed properties:
Calculated formation energy = -6.50 kcal/mol of atoms
Space-group type = F-43m, No. 216
DFT total energy = -7.141 eV/atom

=====

(5)
VASP calculation (PBE) on a relaxed structure of Lu2ThSn.

Structure (POSCAR):
```
Lu2ThSn
1.0
3.796 0.000 0.000
0.000 3.796 0.000
0.000 0.000 7.776
Lu Th Sn
2 1 1
Direct
0.000 0.000 0.221
0.000 0.000 0.779
0.500 0.500 0.500
0.500 0.500 0.000
```

Computed properties:
Calculated formation energy = -6.45 kcal/mol of atoms
Space-group type = P4/mmm, No. 123
DFT total energy = -5.396 eV/atom

=====

(6)
VASP calculation (PBE) on a relaxed structure of LuTh2Sn.

Structure (POSCAR):
```
LuTh2Sn
1.0
4.780 0.000 0.000
0.000 4.780 0.000
0.000 0.000 5.032
Lu Th Sn
1 2 1
Direct
0.000 0.000 0.000
0.000 0.500 0.500
0.500 0.000 0.500
0.500 0.500 0.000
```

Computed properties:
Calculated formation energy = -7.67 kcal/mol of atoms
Space-group type = P4/mmm, No. 123
DFT total energy = -6.173 eV/atom